VASP calculation (SCAN) on InTc2Ru at its PBEsol-relaxed geometry.

Summary:
- density of states at the Fermi level (states/eV/cell) = 4.4
- formation energy from the elements (eV per atom) = 0.222
- SG = No. 6
- DFT total energy (Ry per atom) = -2.52547

Unit cell a=2.808 b=3.834 c=5.663 alpha=90.00 beta=90.56 gamma=90.00
Fractional coordinates of all 4 atoms:
In1 0.000 0.000 0.000
Tc1 0.026 0.000 0.503
Tc2 0.479 0.500 0.707
Ru1 0.510 0.500 0.259